The following is a PBE with a Hubbard U calculation of a geometry-optimized CsCu2NiF8 structure, from Alexandria via LeMat-Bulk.

Output
- Space-group type: R-3, No. 148
- Energy: -3.967 eV per atom

Cell and atoms, written as POSCAR:
```
CsCu2NiF8
1.0
5.406 0.000 0.000
2.703 4.682 0.000
2.703 1.561 7.596
F Cu Cs Ni
8 2 1 1
Cartesian
4.606 1.493 1.088
7.217 3.242 1.088
3.596 3.000 6.509
6.207 4.749 6.509
4.397 4.629 1.088
2.703 1.561 3.128
8.109 4.682 4.469
6.416 1.614 6.509
2.703 1.561 1.301
8.109 4.682 6.295
5.406 3.121 3.798
0.000 0.000 0.000
```